Entry 1:
Density functional theory data (PBE) for an optimized crystal structure of KFe2C2.

```
KFe2C2
1.0
7.062 0.000 0.000
0.000 7.062 0.000
0.000 0.000 2.778
K Fe C
2 4 4
Cartesian
0.000 0.000 0.000
3.531 3.531 0.000
0.804 2.726 1.389
2.726 6.257 1.389
4.335 0.804 1.389
6.257 4.335 1.389
0.569 4.100 0.000
2.962 0.569 0.000
4.100 6.492 0.000
6.492 2.962 0.000
```

Properties
Theoretical density in g cm⁻³: 4.19
Relative energy among the computed polymorphs in kJ/mol of formula units: 532
Volume in A^3/atom: 13.852
Energy of formation from the pure elements in meV/atom: 1279

Entry 2:
Density functional theory data (PBE) for an optimized crystal structure of KFe2C2.

```
KFe2C2
1.0
-1.756 1.756 5.800
1.756 -1.756 5.800
1.756 1.756 -5.800
K Fe C
1 2 2
Cartesian
0.000 0.000 0.000
1.756 0.000 2.900
0.000 1.756 2.900
0.000 0.000 3.599
0.000 0.000 8.001
```

Properties
Theoretical density in g cm⁻³: 4.06
Relative energy among the computed polymorphs in kJ/mol of formula units: 0
Volume in A^3/atom: 14.304
Energy of formation from the pure elements in meV/atom: 177

Entry 3:
Density functional theory data (PBE) for an optimized crystal structure of KFeC3.

```
KFeC3
1.0
3.902 0.000 0.000
0.000 3.902 0.000
0.000 0.000 3.902
K Fe C
1 1 3
Cartesian
0.000 0.000 0.000
1.951 1.951 1.951
0.000 1.951 1.951
1.951 0.000 1.951
1.951 1.951 0.000
```

Properties
Theoretical density in g cm⁻³: 3.66
Relative energy among the computed polymorphs in kJ/mol of formula units: 0
Volume in A^3/atom: 11.881
Energy of formation from the pure elements in meV/atom: 1890

Entry 4:
Density functional theory data (PBE) for an optimized crystal structure of K2FeC2.

```
K2FeC2
1.0
5.467 0.000 0.000
0.000 5.467 0.000
0.000 0.000 5.267
K Fe C
4 2 4
Cartesian
0.950 1.784 0.000
1.784 4.517 0.000
3.683 0.950 0.000
4.517 3.683 0.000
0.000 0.000 2.633
2.733 2.733 2.633
1.273 4.007 2.633
1.460 1.273 2.633
4.007 4.194 2.633
4.194 1.460 2.633
```

Properties
Theoretical density in g cm⁻³: 3.33
Volume in A^3/atom: 15.740
Energy of formation from the pure elements in meV/atom: 1317

Entry 5:
Density functional theory data (PBE) for an optimized crystal structure of KFe2C.

```
KFe2C
1.0
-3.005 3.005 4.242
3.005 -3.005 4.242
3.005 3.005 -4.242
K Fe C
2 4 2
Cartesian
3.005 1.502 1.060
0.000 1.502 3.181
0.000 0.000 0.000
1.502 1.502 -2.121
1.502 -1.502 2.121
0.000 3.005 0.000
3.005 -1.502 3.181
0.000 4.507 1.060
```

Properties
Theoretical density in g cm⁻³: 3.53
Volume in A^3/atom: 19.147
Energy of formation from the pure elements in meV/atom: 712

Entry 6:
Density functional theory data (PBE) for an optimized crystal structure of KFeC.

```
KFeC
1.0
3.171 0.000 0.000
0.000 5.340 0.000
-1.562 0.000 2.803
K Fe C
1 1 1
Cartesian
0.000 0.000 0.000
0.027 2.670 1.844
1.614 2.670 0.890
```

Properties
Theoretical density in g cm⁻³: 3.74
Relative energy among the computed polymorphs in kJ/mol of formula units: 0
Volume in A^3/atom: 15.820
Energy of formation from the pure elements in meV/atom: 619

Entry 7:
Density functional theory data (PBE) for an optimized crystal structure of KFeC.

```
KFeC
1.0
3.179 0.000 0.000
1.573 2.765 0.000
1.570 0.887 5.481
K Fe C
1 1 1
Cartesian
0.000 0.000 0.000
3.158 1.814 2.834
4.749 2.740 3.008
```

Properties
Theoretical density in g cm⁻³: 3.69
Relative energy among the computed polymorphs in kJ/mol of formula units: 5
Volume in A^3/atom: 16.062
Energy of formation from the pure elements in meV/atom: 637

Entry 8:
Density functional theory data (PBE) for an optimized crystal structure of KFeC3.

```
KFeC3
1.0
4.160 0.000 0.000
0.000 4.160 0.000
0.000 0.000 4.160
K Fe C
1 1 3
Cartesian
0.000 0.000 0.000
2.080 2.080 2.080
0.000 0.000 2.080
0.000 2.080 0.000
2.080 0.000 0.000
```

Properties
Theoretical density in g cm⁻³: 3.02
Relative energy among the computed polymorphs in kJ/mol of formula units: 1384
Volume in A^3/atom: 14.403
Energy of formation from the pure elements in meV/atom: 4759